1.
DFT (meta-GGA SCAN) results for Re4Pb at its PBEsol-relaxed geometry.

a = 4.0786 Å, b = 4.0786 Å, c = 6.3008 Å
α = 108.88°, β = 108.88°, γ = 90.00°
Last column: nearest neighbours and their distance in Å.
Element x y z (fractional)
Pb 0.0000 0.0000 0.0000  16 Re 3.17-3.46
Re 0.7500 0.2500 0.5000  4 Re 2.52
Re 0.2500 0.7500 0.5000  4 Re 2.52
Re 0.6182 0.6182 0.2363  5 Re 2.52-2.65
Re 0.3818 0.3818 0.7637  5 Re 2.52-2.65

Properties
Space-group type: I4/mmm (139)
Energy relative to the elements, eV per atom: 0.52
D(E_F), states/eV/cell: 3.87
Electronic total energy, eV per atom: -71.512



2.
DFT (meta-GGA SCAN) results for Li3TcOs at its PBEsol-relaxed geometry.

a = 4.4179 Å, b = 4.4179 Å, c = 4.4179 Å
α = 90.00°, β = 90.00°, γ = 90.00°
Last column: nearest neighbours and their distance in Å.
Element x y z (fractional)
Os 0.0000 0.0000 0.0000  6 Li 2.21
Tc 0.5000 0.5000 0.5000  12 Li 3.12
Li 0.0000 0.5000 0.0000  2 Os 2.21
Li 0.0000 0.0000 0.5000  2 Os 2.21
Li 0.5000 0.0000 0.0000  2 Os 2.21

Properties
Space-group type: Pm-3m (221)
Energy relative to the elements, eV per atom: 1.65
D(E_F), states/eV/cell: 4.37
Electronic total energy, eV per atom: -21.173



3.
DFT (meta-GGA SCAN) results for Li2TlPt at its PBEsol-relaxed geometry.

a = 2.9159 Å, b = 3.7817 Å, c = 5.7623 Å
α = 90.00°, β = 90.00°, γ = 90.00°
Last column: nearest neighbours and their distance in Å.
Element x y z (fractional)
Tl 0.5000 0.5000 0.5000  2 Pt 2.88, 8 Li 2.91, 2 Tl 2.92
Pt 0.5000 0.5000 0.0000  8 Li 2.68, 2 Tl 2.88, 2 Pt 2.92
Li 0.0000 0.0000 0.7891  1 Li 2.43, 4 Pt 2.68
Li 0.0000 0.0000 0.2109  1 Li 2.43, 4 Pt 2.68

Properties
Space-group type: Pmmm (47)
Energy relative to the elements, eV per atom: -0.44
D(E_F), states/eV/cell: 1.01
Electronic total energy, eV per atom: -37.276



Copy entry 2 word for word.
DFT (meta-GGA SCAN) results for Li3TcOs at its PBEsol-relaxed geometry.

a = 4.4179 Å, b = 4.4179 Å, c = 4.4179 Å
α = 90.00°, β = 90.00°, γ = 90.00°
Last column: nearest neighbours and their distance in Å.
Element x y z (fractional)
Os 0.0000 0.0000 0.0000  6 Li 2.21
Tc 0.5000 0.5000 0.5000  12 Li 3.12
Li 0.0000 0.5000 0.0000  2 Os 2.21
Li 0.0000 0.0000 0.5000  2 Os 2.21
Li 0.5000 0.0000 0.0000  2 Os 2.21

Properties
Space-group type: Pm-3m (221)
Energy relative to the elements, eV per atom: 1.65
D(E_F), states/eV/cell: 4.37
Electronic total energy, eV per atom: -21.173



Number 3 is which compound?
Li2TlPt